[1]
Crystalline MgAu3Br at its relaxed geometry. Source: Alexandria via LeMat-Bulk, functional PBE. Values from VASP.

Its density of states at the Fermi level is 4.35 states/eV/f.u. The value obtained for the formation energy without anion corrections is 0.51 eV/atom. The value obtained for the relative energy among the computed polymorphs is 0.0 kJ/mol of atoms.

Cell and atoms, written as Quantum ESPRESSO input:
```
&SYSTEM
  ibrav = 0, nat = 5, ntyp = 3
/
ATOMIC_SPECIES
Au 196.97 Au.upf
Br 79.90 Br.upf
Mg 24.30 Mg.upf
CELL_PARAMETERS angstrom
-1.083 4.888 -0.604
-2.650 -0.058 4.290
4.151 1.239 2.581
ATOMIC_POSITIONS crystal
Au 0.500 0.000 0.000
Au 0.000 0.500 0.000
Au 0.000 0.000 0.500
Br 0.500 0.500 0.500
Mg 0.000 0.000 0.000
```



[2]
Crystalline Tb3Pm4Y at its relaxed geometry. Source: Alexandria via LeMat-Bulk, functional PBE. Values from VASP.

Its density of states at the Fermi level is 13.98 states/eV/f.u. For the formation energy, the calculation gives 1.28 eV per formula unit. The value obtained for the relative energy among the computed polymorphs is 13.1 kJ/mol of atoms.

Cell and atoms, written as Quantum ESPRESSO input:
```
&SYSTEM
  ibrav = 0, nat = 8, ntyp = 3
/
ATOMIC_SPECIES
Pm 145.00 Pm.upf
Tb 158.93 Tb.upf
Y 88.91 Y.upf
CELL_PARAMETERS angstrom
3.482 0.000 -0.439
-0.175 6.674 -1.387
-0.269 -0.992 11.886
ATOMIC_POSITIONS crystal
Pm 0.876 0.631 0.752
Pm 0.260 0.763 0.519
Pm 0.740 0.237 0.481
Pm 0.124 0.369 0.248
Tb 0.000 0.500 0.000
Tb 0.123 0.882 0.247
Tb 0.877 0.118 0.753
Y 0.500 0.000 0.000
```



[3]
Crystalline DyHo7Tm12 at its relaxed geometry. Source: Alexandria via LeMat-Bulk, functional PBE. Values from VASP.

Its density of states at the Fermi level is 17.80 states/eV/f.u. For the formation energy, the calculation gives 6.30 eV per formula unit. The value obtained for the relative energy among the computed polymorphs is 0.0 kJ/mol of atoms.

Cell and atoms, written as Quantum ESPRESSO input:
```
&SYSTEM
  ibrav = 0, nat = 20, ntyp = 3
/
ATOMIC_SPECIES
Ho 164.93 Ho.upf
Tm 168.93 Tm.upf
Dy 162.50 Dy.upf
CELL_PARAMETERS angstrom
-1.414 -3.191 7.808
-7.269 -2.985 -3.376
4.820 -6.552 -2.644
ATOMIC_POSITIONS crystal
Ho 0.020 0.084 0.353
Ho 0.980 0.916 0.647
Ho 0.647 0.980 0.916
Ho 0.353 0.020 0.084
Ho 0.916 0.647 0.980
Ho 0.084 0.353 0.020
Ho 0.500 0.500 0.500
Tm 0.315 0.187 0.749
Tm 0.187 0.749 0.315
Tm 0.813 0.251 0.685
Tm 0.520 0.852 0.583
Tm 0.852 0.583 0.520
Tm 0.480 0.148 0.417
Tm 0.251 0.685 0.813
Tm 0.148 0.417 0.480
Tm 0.685 0.813 0.251
Tm 0.583 0.520 0.852
Tm 0.417 0.480 0.148
Tm 0.749 0.315 0.187
Dy 0.000 0.000 0.000
```



[4]
Crystalline K2InW at its relaxed geometry. Source: Alexandria via LeMat-Bulk, functional PBE. Values from VASP.

Its density of states at the Fermi level is 2.85 states/eV/f.u. For the formation energy, the calculation gives 4.26 eV per formula unit.

Cell and atoms, written as Quantum ESPRESSO input:
```
&SYSTEM
  ibrav = 0, nat = 4, ntyp = 3
/
ATOMIC_SPECIES
K 39.10 K.upf
In 114.82 In.upf
W 183.84 W.upf
CELL_PARAMETERS angstrom
-1.850 -2.319 0.180
0.839 0.435 -2.817
9.774 -7.663 1.728
ATOMIC_POSITIONS crystal
K 0.000 0.000 0.489
K 0.000 0.000 0.011
In 0.500 0.500 0.750
W 0.500 0.500 0.250
```



[5]
Crystalline NiSnS at its relaxed geometry. Source: Alexandria via LeMat-Bulk, functional PBE. Values from VASP.

Its density of states at the Fermi level is 1.13 states/eV/f.u. The value obtained for the formation energy without anion corrections is -0.22 eV/atom.

Cell and atoms, written as Quantum ESPRESSO input:
```
&SYSTEM
  ibrav = 0, nat = 6, ntyp = 3
/
ATOMIC_SPECIES
Ni 58.69 Ni.upf
Sn 118.71 Sn.upf
S 32.06 S.upf
CELL_PARAMETERS angstrom
3.703 0.000 0.000
1.852 3.210 0.081
1.852 0.889 10.256
ATOMIC_POSITIONS crystal
Ni 0.774 0.264 0.189
Ni 0.226 0.736 0.811
Sn 0.388 0.872 0.351
Sn 0.612 0.128 0.649
S 0.877 0.385 0.861
S 0.123 0.615 0.139
```



[6]
Crystalline BeInW2 at its relaxed geometry. Source: Alexandria via LeMat-Bulk, functional PBE. Values from VASP.

Its density of states at the Fermi level is 1.74 states/eV/f.u. For the formation energy, the calculation gives 2.09 eV per formula unit. The value obtained for the relative energy among the computed polymorphs is 16.9 kJ/mol of atoms.

Cell and atoms, written as Quantum ESPRESSO input:
```
&SYSTEM
  ibrav = 0, nat = 4, ntyp = 3
/
ATOMIC_SPECIES
W 183.84 W.upf
In 114.82 In.upf
Be 9.01 Be.upf
CELL_PARAMETERS angstrom
-1.053 4.148 2.492
-3.392 -0.870 3.502
4.504 -1.552 -1.353
ATOMIC_POSITIONS crystal
W 0.737 0.237 0.500
W 0.991 0.991 0.000
In 0.269 0.769 0.500
Be 0.503 0.503 0.000
```



[7]
Crystalline Zr2Mn3W at its relaxed geometry. Source: Alexandria via LeMat-Bulk, functional PBE. Values from VASP.

Its density of states at the Fermi level is 5.01 states/eV/f.u. For the formation energy, the calculation gives -1.01 eV per formula unit.

Cell and atoms, written as Quantum ESPRESSO input:
```
&SYSTEM
  ibrav = 0, nat = 6, ntyp = 3
/
ATOMIC_SPECIES
W 183.84 W.upf
Mn 54.94 Mn.upf
Zr 91.22 Zr.upf
CELL_PARAMETERS angstrom
-3.081 4.114 -0.724
0.368 -3.646 -3.676
-1.151 -3.539 3.395
ATOMIC_POSITIONS crystal
W 0.000 0.000 0.000
Mn 0.500 0.500 0.500
Mn 0.500 0.000 0.500
Mn 0.000 0.000 0.500
Zr 0.250 0.625 0.875
Zr 0.750 0.375 0.125
```



[8]
Crystalline CdFeAg2 at its relaxed geometry. Source: Alexandria via LeMat-Bulk, functional PBE. Values from VASP.

Its density of states at the Fermi level is 2.62 states/eV/f.u. For the formation energy, the calculation gives 1.03 eV per formula unit.

Cell and atoms, written as Quantum ESPRESSO input:
```
&SYSTEM
  ibrav = 0, nat = 4, ntyp = 3
/
ATOMIC_SPECIES
Cd 112.41 Cd.upf
Ag 107.87 Ag.upf
Fe 55.84 Fe.upf
CELL_PARAMETERS angstrom
-1.639 4.653 1.023
-3.232 2.847 2.615
2.791 1.105 4.045
ATOMIC_POSITIONS crystal
Cd 0.250 0.250 0.250
Ag 0.492 0.492 0.511
Ag 0.008 0.008 0.989
Fe 0.750 0.750 0.750
```



[9]
Crystalline I5Cl at its relaxed geometry. Source: Alexandria via LeMat-Bulk, functional PBE. Values from VASP.

The value obtained for the formation energy without anion corrections is -0.03 eV/atom.

Cell and atoms, written as Quantum ESPRESSO input:
```
&SYSTEM
  ibrav = 0, nat = 6, ntyp = 2
/
ATOMIC_SPECIES
I 126.90 I.upf
Cl 35.45 Cl.upf
CELL_PARAMETERS angstrom
-1.003 4.652 7.770
-4.389 -5.007 -2.911
15.188 -0.264 2.118
ATOMIC_POSITIONS crystal
I 0.070 0.139 0.135
I 0.320 0.640 0.623
I 0.474 0.947 0.457
I 0.877 0.754 0.360
I 0.702 0.404 0.430
Cl 0.724 0.448 0.829
```



[10]
Crystalline Pa2Bi5Pb at its relaxed geometry. Source: Alexandria via LeMat-Bulk, functional PBE. Values from VASP.

Its density of states at the Fermi level is 9.16 states/eV/f.u. For the formation energy, the calculation gives -0.55 eV per formula unit.

Cell and atoms, written as Quantum ESPRESSO input:
```
&SYSTEM
  ibrav = 0, nat = 16, ntyp = 3
/
ATOMIC_SPECIES
Bi 208.98 Bi.upf
Pa 231.04 Pa.upf
Pb 207.20 Pb.upf
CELL_PARAMETERS angstrom
4.636 0.000 0.000
0.000 8.435 0.000
0.000 0.000 12.702
ATOMIC_POSITIONS crystal
Bi 0.000 0.140 0.772
Bi 0.000 0.000 0.500
Bi 0.000 0.640 0.728
Bi 0.000 0.360 0.272
Bi 0.500 0.270 0.576
Bi 0.000 0.860 0.228
Bi 0.500 0.770 0.924
Bi 0.500 0.730 0.424
Bi 0.000 0.500 0.000
Bi 0.500 0.230 0.076
Pa 0.500 0.899 0.669
Pa 0.500 0.101 0.331
Pa 0.500 0.399 0.831
Pa 0.500 0.601 0.169
Pb 0.000 0.500 0.500
Pb 0.000 0.000 0.000
```



| no. | E_tot (eV/atom) | total magnetization (Bohr magnetons per cell) | mass density (kg/m3) |
| --- | --- | --- | --- |
| 1 | -2.112 | 0.00 | 8999 |
| 2 | -4.760 | 0.00 | 7031 |
| 3 | -4.200 | 0.00 | 8992 |
| 4 | -3.405 | 0.00 | 6028 |
| 5 | -4.861 | 0.00 | 5718 |
| 6 | -7.569 | 0.00 | 13094 |
| 7 | -9.762 | 2.91 | 9335 |
| 8 | -3.514 | 2.89 | 9257 |
| 9 | -1.628 | 0.00 | 2478 |
| 10 | -5.332 | 1.33 | 11462 |